# 1
## CuF (PBE)

Data for crystalline CuF at its relaxed geometry.

## Properties
**Uncorrected energy**: -43.97 eV per cell

a = 2.8604 Å, b = 2.8604 Å, c = 19.1781 Å
α = 90.00°, β = 90.00°, γ = 120.00°
Space group P3m1 (No. 156)
Inequivalent atoms, fractional coordinates:
Cu 0.0000 0.0000 0.0000 x1
Cu 0.0000 0.0000 0.3334 x1
Cu 0.0000 0.0000 0.6666 x1
Cu 0.3333 0.6667 0.2343 x1
Cu 0.3333 0.6667 0.5675 x1
Cu 0.6667 0.3333 0.9009 x1
F 0.0000 0.0000 0.1738 x1
F 0.0000 0.0000 0.5071 x1
F 0.0000 0.0000 0.8405 x1
F 0.3333 0.6667 0.3938 x1
F 0.3333 0.6667 0.7271 x1
F 0.6667 0.3333 0.0605 x1

# 2
## Cu3F4 (PBE)

Data for crystalline Cu3F4 at its relaxed geometry.

## Properties
**Uncorrected energy**: -25.92 eV per cell

a = 4.3125 Å, b = 4.3125 Å, c = 4.5890 Å
α = 90.00°, β = 90.00°, γ = 90.00°
Space group P-42m (No. 111)
Inequivalent atoms, fractional coordinates:
Cu 0.0000 0.0000 0.0000 x1
Cu 0.0000 0.5000 0.5000 x2
F 0.2826 0.2826 0.7792 x4

Repeat the second record exactly.
## Cu3F4 (PBE)

Data for crystalline Cu3F4 at its relaxed geometry.

## Properties
**Uncorrected energy**: -25.92 eV per cell

a = 4.3125 Å, b = 4.3125 Å, c = 4.5890 Å
α = 90.00°, β = 90.00°, γ = 90.00°
Space group P-42m (No. 111)
Inequivalent atoms, fractional coordinates:
Cu 0.0000 0.0000 0.0000 x1
Cu 0.0000 0.5000 0.5000 x2
F 0.2826 0.2826 0.7792 x4